Entry from Alexandria: crystalline Ba2OsCl at its relaxed geometry (PBE-GGA).

a = 5.469 Å, b = 5.469 Å, c = 5.469 Å
α = 60.00°, β = 60.00°, γ = 60.00°
Site moments in Bohr magnetons follow the coordinates.
Fractional coordinates of all 4 atoms:
Ba1 0.000 0.000 0.000  -0.05
Ba2 0.250 0.250 0.250  -0.07
Cl1 0.500 0.500 0.500  0.03
Os1 0.750 0.750 0.750  1.10

Calculated values
- Symmetry: F-43m, No. 216
- Total magnetic moment: 0.25 μB per atom
- ΔE_f (raw): 45 kJ/mol of atoms